# NiAgOs2

A geometry-optimized NiAgOs2 structure (PBEsol, Alexandria).

Computed properties:
polymorph energy (0 for the lowest one): 0.0000 eV/atom
final energy: -32.684 eV/cell
E_form: 304.1 meV/atom

Unit cell a=2.7120 b=2.7120 c=7.5118 alpha=90.00 beta=90.00 gamma=90.00
With the nearest neighbours (Å) after each atom.
Positions (direct):
Ag 0.0000 0.0000 0.5138  4 Ni 2.68, 4 Ag 2.71, 4 Os 2.87
Ni 0.5000 0.5000 0.7630  4 Os 2.59, 4 Ag 2.68, 4 Ni 2.71
Os 0.0000 0.0000 0.9938  4 Ni 2.59, 8 Os 2.61-2.71
Os 0.5000 0.5000 0.2294  8 Os 2.61-2.71, 4 Ag 2.87